1.
# NaNbCo2Pd PBE relaxed
data_NaNbCo2Pd
_cell_length_a 4.604
_cell_length_b 4.604
_cell_length_c 4.666
_cell_angle_alpha 90.00
_cell_angle_beta 90.00
_cell_angle_gamma 90.00
_symmetry_space_group_name_H-M 'P 4/m m m'
_symmetry_Int_Tables_number 123
_symmetry_space_group_name_Hall '-P 4 2'
loop_
_atom_site_label
_atom_site_fract_x
_atom_site_fract_y
_atom_site_fract_z
Na1 0.000 0.000 0.000
Nb1 0.500 0.500 0.000
Co1 0.000 0.500 0.500
Pd1 0.000 0.000 0.500
# **Calculated volume**: 98.9 Å³/cell
# **DFT total energy**: -4.71 eV per atom
# **Total magnetic moment**: 1.298 μB/atom
# **Formation enthalpy at 0 K**: 140 kJ/mol of atoms



2.
# SbRhW2 PBE relaxed
data_SbRhW2
_cell_length_a 3.827
_cell_length_b 3.827
_cell_length_c 4.589
_cell_angle_alpha 90.00
_cell_angle_beta 90.00
_cell_angle_gamma 90.00
_symmetry_space_group_name_H-M 'P 4/m m m'
_symmetry_Int_Tables_number 123
_symmetry_space_group_name_Hall '-P 4 2'
loop_
_atom_site_label
_atom_site_fract_x
_atom_site_fract_y
_atom_site_fract_z
Sb1 0.000 0.000 0.000
Rh1 0.500 0.500 0.000
W1 0.000 0.500 0.500
# **Calculated volume**: 67.2 Å³/cell
# **DFT total energy**: -9.02 eV per atom
# **Total magnetic moment**: 0.000 μB/atom
# **Energy relative to the elements, uncorrected**: 0.325 eV per atom



3.
# CePmIrRh PBE relaxed
data_CePmIrRh
_cell_length_a 7.014
_cell_length_b 7.014
_cell_length_c 7.014
_cell_angle_alpha 90.00
_cell_angle_beta 90.00
_cell_angle_gamma 90.00
_symmetry_space_group_name_H-M 'F -4 3 m'
_symmetry_Int_Tables_number 216
_symmetry_space_group_name_Hall 'F -4 2 3'
loop_
_atom_site_label
_atom_site_fract_x
_atom_site_fract_y
_atom_site_fract_z
Ce1 0.000 0.000 0.000
Pm1 0.000 0.000 0.500
Ir1 0.250 0.250 0.250
Rh1 0.250 0.250 0.750
# **Calculated volume**: 345.0 Å³/cell
# **DFT total energy**: -7.39 eV per atom
# **Total magnetic moment**: 0.118 μB/atom
# **Formation enthalpy at 0 K**: -64 kJ/mol of atoms